Density functional theory data (PBE) for a relaxed structure of ZrTeI2Br.

As for the energy: -18.19 eV/cell. For the density, the calculation gives 5.004 g/cm³. Its crystal system is tetragonal. Its energy relative to the lowest polymorph listed for this composition is 0.00 kcal/mol of atoms.

It has space group P4/mmm (No. 123), with a = 5.677 Å, b = 5.677 Å, c = 5.691 Å, α = 90.00°, β = 90.00° and γ = 90.00°. Symmetry generates all atoms from Zr at (0.000, 0.000, 0.000), Te at (0.000, 0.000, 0.500), I at (0.000, 0.500, 0.000) and Br at (0.500, 0.500, 0.500).

Density functional theory data (PBE) for a relaxed structure of Na2SiN.

As for the energy: -48.63 eV/cell. For the density, the calculation gives 2.172 g/cm³. Its crystal system is cubic. Its energy relative to the lowest polymorph listed for this composition is 20.56 kcal/mol of atoms.

It has space group Fm-3m (No. 225), with a = 6.458 Å, b = 6.458 Å, c = 6.458 Å, α = 90.00°, β = 90.00° and γ = 90.00°. Symmetry generates all atoms from Na at (0.250, 0.250, 0.250), Si at (0.000, 0.000, 0.000) and N at (0.000, 0.000, 0.500).

Density functional theory data (PBE) for a relaxed structure of KTe4Rh.

As for the energy: -73.45 eV/cell. For the density, the calculation gives 5.794 g/cm³. Its crystal system is cubic.

It has space group F-43m (No. 216), with a = 9.077 Å, b = 9.077 Å, c = 9.077 Å, α = 90.00°, β = 90.00° and γ = 90.00°. Symmetry generates all atoms from K at (0.000, 0.000, 0.000), Te at (0.124, 0.124, 0.376) and Rh at (0.250, 0.250, 0.750).

Density functional theory data (PBE) for a relaxed structure of Sr2GaHg6Au.

As for the energy: -14.20 eV/cell. For the density, the calculation gives 9.811 g/cm³. Its crystal system is triclinic. For the formation energy, the calculation gives -0.272 eV per atom.

It has space group P-1 (No. 2), with a = 5.784 Å, b = 7.059 Å, c = 7.535 Å, α = 86.44°, β = 67.54° and γ = 78.42°. Symmetry generates all atoms from Sr at (0.228, 0.219, 0.246), Ga at (0.500, 0.500, 0.500), Hg at (0.198, 0.723, 0.290), Hg at (0.248, 0.575, 0.902), Hg at (0.349, 0.141, 0.667) and Au at (0.000, 0.000, 0.000).

Density functional theory data (PBE) for a relaxed structure of Hf2Zr2In.

As for the energy: -71.48 eV/cell. For the density, the calculation gives 8.733 g/cm³. Its crystal system is tetragonal. For the formation energy, the calculation gives 0.800 eV per atom. Its energy relative to the lowest polymorph listed for this composition is 17.52 kcal/mol of atoms.

It has space group I4/mmm (No. 139), with a = 5.446 Å, b = 5.446 Å, c = 8.388 Å, α = 90.00°, β = 90.00° and γ = 90.00°. Symmetry generates all atoms from Hf at (0.000, 0.500, 0.250), Zr at (0.000, 0.000, 0.157) and In at (0.000, 0.000, 0.500).

Density functional theory data (PBE) for a relaxed structure of BeMoPt2.

As for the energy: -54.63 eV/cell. For the density, the calculation gives 14.447 g/cm³. Its crystal system is tetragonal. For the formation energy, the calculation gives -0.169 eV per atom.

It has space group I-4m2 (No. 119), with a = 3.871 Å, b = 3.871 Å, c = 7.595 Å, α = 90.00°, β = 90.00° and γ = 90.00°. Symmetry generates all atoms from Be at (0.000, 0.000, 0.000), Mo at (0.000, 0.500, 0.750), Pt at (0.000, 0.000, 0.500) and Pt at (0.000, 0.500, 0.250).

Density functional theory data (PBE) for a relaxed structure of Tm6Os2Ru.

As for the energy: -244.38 eV/cell. For the density, the calculation gives 11.719 g/cm³. Its crystal system is orthorhombic. For the formation energy, the calculation gives -0.281 eV per atom. Its energy relative to the lowest polymorph listed for this composition is 0.00 kcal/mol of atoms.

It has space group Immm (No. 71), with a = 9.303 Å, b = 9.329 Å, c = 9.765 Å, α = 90.00°, β = 90.00° and γ = 90.00°. Symmetry generates all atoms from Tm at (0.000, 0.193, 0.233), Tm at (0.192, 0.500, 0.335), Tm at (0.247, 0.327, 0.000), Os at (0.000, 0.332, 0.500), Os at (0.000, 0.500, 0.122), Ru at (0.000, 0.000, 0.000) and Ru at (0.000, 0.000, 0.500).

Density functional theory data (PBE) for a relaxed structure of TaAgP2.

As for the energy: -24.14 eV/cell. For the density, the calculation gives 8.753 g/cm³. Its crystal system is tetragonal. For the formation energy, the calculation gives 0.346 eV per atom. Its energy relative to the lowest polymorph listed for this composition is 11.29 kcal/mol of atoms.

It has space group P4mm (No. 99), with a = 2.873 Å, b = 2.873 Å, c = 8.061 Å, α = 90.00°, β = 90.00° and γ = 90.00°. Symmetry generates all atoms from Ta at (0.000, 0.000, 0.000), Ag at (0.500, 0.500, 0.275), P at (0.000, 0.000, 0.523) and P at (0.500, 0.500, 0.792).

Density functional theory data (PBE) for a relaxed structure of Zr2NiPt.

As for the energy: -88.66 eV/cell. For the density, the calculation gives 9.402 g/cm³. Its crystal system is trigonal. For the formation energy, the calculation gives -0.158 eV per atom.

It has space group R3m (No. 160, hexagonal axes), with a = 3.3300 Å, b = 3.3300 Å, c = 24.0693 Å, α = 90.00°, β = 90.00° and γ = 120.00°. Symmetry generates all atoms from Zr at (0.0000, 0.0000, 0.0000), Zr at (0.0000, 0.0000, 0.2245), Ni at (0.0000, 0.0000, 0.4858) and Pt at (0.0000, 0.0000, 0.7458).

Density functional theory data (PBE) for a relaxed structure of Be2Bi.

As for the energy: -40.82 eV/cell. For the density, the calculation gives 7.180 g/cm³. Its crystal system is orthorhombic. For the formation energy, the calculation gives 0.376 eV per atom. Its energy relative to the lowest polymorph listed for this composition is 4.13 kcal/mol of atoms.

It has space group Amm2 (No. 38), with a = 4.418 Å, b = 3.738 Å, c = 12.717 Å, α = 90.00°, β = 90.00° and γ = 90.00°. Symmetry generates all atoms from Be at (0.000, 0.000, 0.000), Be at (0.247, 0.000, 0.452), Be at (0.500, 0.000, 0.301), Bi at (0.000, 0.000, 0.801) and Bi at (0.500, 0.000, 0.093).

Density functional theory data (PBE) for a relaxed structure of LaCoIr2.

As for the energy: -59.01 eV/cell. For the density, the calculation gives 14.448 g/cm³. Its crystal system is orthorhombic. For the formation energy, the calculation gives 0.062 eV per atom.

It has space group Immm (No. 71), with a = 2.855 Å, b = 4.646 Å, c = 10.092 Å, α = 90.00°, β = 90.00° and γ = 90.00°. Symmetry generates all atoms from La at (0.000, 0.000, 0.000), Co at (0.000, 0.000, 0.500) and Ir at (0.000, 0.500, 0.220).

Density functional theory data (PBE) for a relaxed structure of AlCrFe.

As for the energy: -22.06 eV/cell. For the density, the calculation gives 6.221 g/cm³. Its crystal system is trigonal. For the formation energy, the calculation gives -0.076 eV per atom.

It has space group P3m1 (No. 156), with a = 4.0333 Å, b = 4.0333 Å, c = 2.5545 Å, α = 90.00°, β = 90.00° and γ = 120.00°. Symmetry generates all atoms from Al at (0.0000, 0.0000, 0.0000), Cr at (0.3333, 0.6667, 0.4116) and Fe at (0.6667, 0.3333, 0.6488).

Density functional theory data (PBE) for a relaxed structure of Zr2SiMo.

As for the energy: -128.76 eV/cell. For the density, the calculation gives 6.535 g/cm³. Its crystal system is tetragonal.

It has space group I-42d (No. 122), with a = 7.527 Å, b = 7.527 Å, c = 5.499 Å, α = 90.00°, β = 90.00° and γ = 90.00°. Symmetry generates all atoms from Zr at (0.241, 0.750, 0.125), Si at (0.000, 0.000, 0.000) and Mo at (0.000, 0.000, 0.500).

Density functional theory data (PBE) for a relaxed structure of LiCeNi10.

As for the energy: -67.01 eV/cell. For the density, the calculation gives 7.684 g/cm³. Its crystal system is orthorhombic. For the formation energy, the calculation gives -0.113 eV per atom.

It has space group Pmmm (No. 47), with a = 3.992 Å, b = 4.800 Å, c = 8.278 Å, α = 90.00°, β = 90.00° and γ = 90.00°. Symmetry generates all atoms from Li at (0.000, 0.000, 0.000), Ce at (0.000, 0.500, 0.500), Ni at (0.000, 0.000, 0.324), Ni at (0.000, 0.500, 0.160), Ni at (0.500, 0.000, 0.500), Ni at (0.500, 0.250, 0.247) and Ni at (0.500, 0.500, 0.000).

Density functional theory data (PBE) for a relaxed structure of Tm3ThTc2.

As for the energy: -166.49 eV/cell. For the density, the calculation gives 10.066 g/cm³. Its crystal system is monoclinic. For the formation energy, the calculation gives -0.009 eV per atom.

It has space group C2/m (No. 12), with a = 16.025 Å, b = 4.711 Å, c = 8.313 Å, α = 90.00°, β = 100.61° and γ = 90.00°. Symmetry generates all atoms from Tm at (0.064, 0.000, 0.180), Tm at (0.187, 0.000, 0.547), Tm at (0.194, 0.500, 0.079), Th at (0.066, 0.500, 0.697), Tc at (0.116, 0.500, 0.380) and Tc at (0.122, 0.000, 0.861).

Density functional theory data (PBE) for a relaxed structure of Zr3Mn7Be2.

As for the energy: -297.60 eV/cell. For the density, the calculation gives 7.122 g/cm³. Its crystal system is trigonal. For the formation energy, the calculation gives -0.160 eV per atom.

It has space group R-3m (No. 166, hexagonal axes), with a = 4.8254 Å, b = 4.8254 Å, c = 23.4581 Å, α = 90.00°, β = 90.00° and γ = 120.00°. Symmetry generates all atoms from Zr at (0.0000, 0.0000, 0.0000), Zr at (0.0000, 0.0000, 0.1407), Mn at (0.0000, 0.0000, 0.5000), Mn at (0.0028, 0.5014, 0.9207) and Be at (0.0000, 0.0000, 0.3337).

Density functional theory data (PBE) for a relaxed structure of Cu2PPbW.

As for the energy: -26.60 eV/cell. For the density, the calculation gives 8.396 g/cm³. Its crystal system is tetragonal. For the formation energy, the calculation gives 0.732 eV per atom.

It has space group P4/mmm (No. 123), with a = 4.855 Å, b = 4.855 Å, c = 4.607 Å, α = 90.00°, β = 90.00° and γ = 90.00°. Symmetry generates all atoms from Cu at (0.000, 0.500, 0.000), P at (0.000, 0.000, 0.500), Pb at (0.500, 0.500, 0.500) and W at (0.000, 0.000, 0.000).

Density functional theory data (PBE) for a relaxed structure of Zr3CdH.

As for the energy: -54.26 eV/cell. For the density, the calculation gives 4.622 g/cm³. Its crystal system is orthorhombic. Its energy relative to the lowest polymorph listed for this composition is 18.37 kcal/mol of atoms.

It has space group Amm2 (No. 38), with a = 2.993 Å, b = 6.131 Å, c = 15.155 Å, α = 90.00°, β = 90.00° and γ = 90.00°. Symmetry generates all atoms from Zr at (0.000, 0.000, 0.000), Zr at (0.500, 0.246, 0.359), Cd at (0.500, 0.000, 0.182) and H at (0.000, 0.000, 0.858).

Density functional theory data (PBE) for a relaxed structure of Nd2Sm5Sc2.

As for the energy: -175.78 eV/cell. For the density, the calculation gives 6.355 g/cm³. Its crystal system is orthorhombic. For the formation energy, the calculation gives 0.205 eV per atom. Its energy relative to the lowest polymorph listed for this composition is 3.77 kcal/mol of atoms.

It has space group Ima2 (No. 46), with a = 19.318 Å, b = 8.622 Å, c = 7.091 Å, α = 90.00°, β = 90.00° and γ = 90.00°. Symmetry generates all atoms from Nd at (0.000, 0.000, 0.000), Nd at (0.250, 0.059, 0.966), Sm at (0.109, 0.227, 0.711), Sm at (0.162, 0.749, 0.216), Sm at (0.250, 0.043, 0.461) and Sc at (0.039, 0.636, 0.966).

Density functional theory data (PBE) for a relaxed structure of Li2CeAu6.

As for the energy: -134.42 eV/cell. For the density, the calculation gives 13.021 g/cm³. Its crystal system is monoclinic. For the formation energy, the calculation gives -0.464 eV per atom. Its energy relative to the lowest polymorph listed for this composition is 0.00 kcal/mol of atoms.

It has space group C2/c (No. 15), with a = 9.714 Å, b = 13.672 Å, c = 5.131 Å, α = 90.00°, β = 90.96° and γ = 90.00°. Symmetry generates all atoms from Li at (0.187, 0.092, 0.495), Ce at (0.000, 0.307, 0.250), Au at (0.080, 0.091, 0.003), Au at (0.131, 0.459, 0.869) and Au at (0.179, 0.258, 0.744).